[1]
# LaCePr2Bi5, optimized geometry, DFT GGA-PBE
data_LaCePr2Bi5
_symmetry_space_group_name_H-M 'P 4/m m m'
_symmetry_Int_Tables_number 123
_symmetry_space_group_name_Hall '-P 4 2'
_cell_length_a 5.5636
_cell_length_b 5.5636
_cell_length_c 12.1887
_cell_angle_alpha 90.00
_cell_angle_beta 90.00
_cell_angle_gamma 90.00
loop_
_atom_site_label
_atom_site_type_symbol
_atom_site_fract_x
_atom_site_fract_y
_atom_site_fract_z
La1 La 0.0000 0.0000 0.0000
Ce1 Ce 0.0000 0.0000 0.5000
Pr1 Pr 0.5000 0.5000 0.2733
Bi1 Bi 0.0000 0.0000 0.2502
Bi2 Bi 0.0000 0.5000 0.5000
Bi3 Bi 0.5000 0.5000 0.0000
# D(E_F), states/eV/f.u.: 8.30
# DFT total energy, eV per atom: -4.593
# ΔH_f (0 K), kJ per mole of atoms: -16.2
# M_tot, μB/f.u.: 0.0



[2]
# Ba3Sn9Pd2, optimized geometry, DFT GGA-PBE
data_Ba3Sn9Pd2
_symmetry_space_group_name_H-M 'I m m m'
_symmetry_Int_Tables_number 71
_symmetry_space_group_name_Hall '-I 2 2'
_cell_length_a 4.7072
_cell_length_b 12.4492
_cell_length_c 13.9235
_cell_angle_alpha 90.00
_cell_angle_beta 90.00
_cell_angle_gamma 90.00
loop_
_atom_site_label
_atom_site_type_symbol
_atom_site_fract_x
_atom_site_fract_y
_atom_site_fract_z
Ba1 Ba 0.0000 0.0000 0.0000
Ba2 Ba 0.0000 0.0000 0.3113
Sn1 Sn 0.0000 0.2887 0.1242
Sn2 Sn 0.0000 0.3617 0.3476
Sn3 Sn 0.0000 0.5000 0.0000
Pd1 Pd 0.0000 0.2163 0.5000
# D(E_F), states/eV/f.u.: 4.67
# DFT total energy, eV per atom: -4.194
# ΔH_f (0 K), kJ per mole of atoms: -45.1
# M_tot, μB/f.u.: 0.0



[3]
# FeSbTe2Se, optimized geometry, DFT GGA-PBE
data_FeSbTe2Se
_symmetry_space_group_name_H-M 'P 4/m m m'
_symmetry_Int_Tables_number 123
_symmetry_space_group_name_Hall '-P 4 2'
_cell_length_a 5.0116
_cell_length_b 5.0116
_cell_length_c 5.0601
_cell_angle_alpha 90.00
_cell_angle_beta 90.00
_cell_angle_gamma 90.00
loop_
_atom_site_label
_atom_site_type_symbol
_atom_site_fract_x
_atom_site_fract_y
_atom_site_fract_z
Fe1 Fe 0.0000 0.0000 0.0000
Sb1 Sb 0.0000 0.0000 0.5000
Te1 Te 0.0000 0.5000 0.0000
Se1 Se 0.5000 0.5000 0.5000
# ΔE to the lowest computed polymorph, meV per atom: 0
# D(E_F), states/eV/f.u.: 4.61
# DFT total energy, eV per atom: -4.061
# M_tot, μB/f.u.: 2.5



[4]
# Ca2CdW, optimized geometry, DFT GGA-PBE
data_Ca2CdW
_symmetry_space_group_name_H-M 'P 4/m m m'
_symmetry_Int_Tables_number 123
_symmetry_space_group_name_Hall '-P 4 2'
_cell_length_a 5.2392
_cell_length_b 5.2392
_cell_length_c 3.7429
_cell_angle_alpha 90.00
_cell_angle_beta 90.00
_cell_angle_gamma 90.00
loop_
_atom_site_label
_atom_site_type_symbol
_atom_site_fract_x
_atom_site_fract_y
_atom_site_fract_z
Ca1 Ca 0.0000 0.5000 0.0000
Cd1 Cd 0.0000 0.0000 0.5000
W1 W 0.5000 0.5000 0.5000
# D(E_F), states/eV/f.u.: 3.53
# DFT total energy, eV per atom: -3.738
# ΔH_f (0 K), kJ per mole of atoms: 70.4
# M_tot, μB/f.u.: 3.4



[5]
# AlV12Mo6, optimized geometry, DFT GGA-PBE
data_AlV12Mo6
_symmetry_space_group_name_H-M 'C 1 2/m 1'
_symmetry_Int_Tables_number 12
_cell_length_a 8.7991
_cell_length_b 14.2701
_cell_length_c 5.1331
_cell_angle_alpha 90.00
_cell_angle_beta 120.42
_cell_angle_gamma 90.00
loop_
_symmetry_equiv_pos_as_xyz
'x,y,z'
'-x,-y,-z'
'-x,y,-z'
'x,-y,z'
'x+1/2,y+1/2,z'
'-x+1/2,-y+1/2,-z'
'-x+1/2,y+1/2,-z'
'x+1/2,-y+1/2,z'
loop_
_atom_site_label
_atom_site_type_symbol
_atom_site_fract_x
_atom_site_fract_y
_atom_site_fract_z
Al1 Al 0.0000 0.0000 0.0000
V1 V 0.0000 0.0698 0.5000
V2 V 0.1671 0.5000 0.5426
V3 V 0.1678 0.1682 0.0864
V4 V 0.1864 0.1868 0.6044
Mo1 Mo 0.0069 0.3363 0.7546
Mo2 Mo 0.1748 0.5000 0.0508
# D(E_F), states/eV/f.u.: 19.57
# DFT total energy, eV per atom: -9.235
# ΔH_f (0 K), kJ per mole of atoms: 13.6
# M_tot, μB/f.u.: 0.0



[6]
# KMg14Ti, optimized geometry, DFT GGA-PBE
data_KMg14Ti
_symmetry_space_group_name_H-M 'P 4/m m m'
_symmetry_Int_Tables_number 123
_symmetry_space_group_name_Hall '-P 4 2'
_cell_length_a 6.6478
_cell_length_b 6.6478
_cell_length_c 8.6441
_cell_angle_alpha 90.00
_cell_angle_beta 90.00
_cell_angle_gamma 90.00
loop_
_atom_site_label
_atom_site_type_symbol
_atom_site_fract_x
_atom_site_fract_y
_atom_site_fract_z
K1 K 0.0000 0.0000 0.0000
Mg1 Mg 0.0000 0.0000 0.5000
Mg2 Mg 0.0000 0.5000 0.0000
Mg3 Mg 0.0000 0.5000 0.5000
Mg4 Mg 0.2648 0.2648 0.2564
Mg5 Mg 0.5000 0.5000 0.5000
Ti1 Ti 0.5000 0.5000 0.0000
# ΔE to the lowest computed polymorph, meV per atom: 0
# D(E_F), states/eV/f.u.: 10.05
# DFT total energy, eV per atom: -1.837
# ΔH_f (0 K), kJ per mole of atoms: 11.6
# M_tot, μB/f.u.: 1.9



[7]
# Li3ClO, optimized geometry, DFT GGA-PBE
data_Li3ClO
_symmetry_space_group_name_H-M 'A m m 2'
_symmetry_Int_Tables_number 38
_cell_length_a 3.1439
_cell_length_b 6.5609
_cell_length_c 9.3727
_cell_angle_alpha 90.00
_cell_angle_beta 90.00
_cell_angle_gamma 90.00
loop_
_symmetry_equiv_pos_as_xyz
'x,y,z'
'-x,-y,z'
'-x,y,z'
'x,-y,z'
'x,y+1/2,z+1/2'
'-x,-y+1/2,z+1/2'
'-x,y+1/2,z+1/2'
'x,-y+1/2,z+1/2'
loop_
_atom_site_label
_atom_site_type_symbol
_atom_site_fract_x
_atom_site_fract_y
_atom_site_fract_z
Li1 Li 0.0000 0.0000 0.0000
Li2 Li 0.5000 0.1666 0.2250
Cl1 Cl 0.5000 0.0000 0.8227
O1 O 0.0000 0.0000 0.1916
# ΔE to the lowest computed polymorph, meV per atom: 144
# D(E_F), states/eV/f.u.: 0.00
# DFT total energy, eV per atom: -4.187
# M_tot, μB/f.u.: 0.0



[8]
# Sc2CrCdH, optimized geometry, DFT GGA-PBE
data_Sc2CrCdH
_symmetry_space_group_name_H-M 'P 4/m m m'
_symmetry_Int_Tables_number 123
_symmetry_space_group_name_Hall '-P 4 2'
_cell_length_a 4.6738
_cell_length_b 4.6738
_cell_length_c 3.7892
_cell_angle_alpha 90.00
_cell_angle_beta 90.00
_cell_angle_gamma 90.00
loop_
_atom_site_label
_atom_site_type_symbol
_atom_site_fract_x
_atom_site_fract_y
_atom_site_fract_z
Sc1 Sc 0.0000 0.5000 0.0000
Cr1 Cr 0.0000 0.0000 0.5000
Cd1 Cd 0.5000 0.5000 0.5000
H1 H 0.0000 0.0000 0.0000
# D(E_F), states/eV/f.u.: 3.80
# DFT total energy, eV per atom: -5.410
# M_tot, μB/f.u.: 3.1



[9]
# Ga3CuS4, optimized geometry, DFT GGA-PBE
data_Ga3CuS4
_symmetry_space_group_name_H-M 'I -4 2 m'
_symmetry_Int_Tables_number 121
_symmetry_space_group_name_Hall 'I -4 2'
_cell_length_a 5.3995
_cell_length_b 5.3995
_cell_length_c 12.1664
_cell_angle_alpha 90.00
_cell_angle_beta 90.00
_cell_angle_gamma 90.00
loop_
_atom_site_label
_atom_site_type_symbol
_atom_site_fract_x
_atom_site_fract_y
_atom_site_fract_z
Ga1 Ga 0.0000 0.0000 0.0000
Ga2 Ga 0.0000 0.5000 0.2500
Cu1 Cu 0.0000 0.0000 0.5000
S1 S 0.2208 0.2208 0.3608
# D(E_F), states/eV/f.u.: 0.88
# DFT total energy, eV per atom: -4.108
# M_tot, μB/f.u.: 0.0



[10]
# VAu2C, optimized geometry, DFT GGA-PBE
data_VAu2C
_symmetry_space_group_name_H-M 'I -4 2 d'
_symmetry_Int_Tables_number 122
_symmetry_space_group_name_Hall 'I -4 2bw'
_cell_length_a 5.0491
_cell_length_b 5.0491
_cell_length_c 12.1067
_cell_angle_alpha 90.00
_cell_angle_beta 90.00
_cell_angle_gamma 90.00
loop_
_atom_site_label
_atom_site_type_symbol
_atom_site_fract_x
_atom_site_fract_y
_atom_site_fract_z
V1 V 0.0000 0.0000 0.0000
Au1 Au 0.1357 0.2500 0.6250
C1 C 0.0000 0.0000 0.5000
# D(E_F), states/eV/f.u.: 4.36
# DFT total energy, eV per atom: -4.985
# ΔH_f (0 K), kJ per mole of atoms: 119.6
# M_tot, μB/f.u.: 3.0



[11]
# TbMg11, optimized geometry, DFT GGA-PBE
data_TbMg11
_symmetry_space_group_name_H-M 'I 41/a m d'
_symmetry_Int_Tables_number 141
_cell_length_a 12.1224
_cell_length_b 12.1224
_cell_length_c 7.8776
_cell_angle_alpha 90.00
_cell_angle_beta 90.00
_cell_angle_gamma 90.00
loop_
_symmetry_equiv_pos_as_xyz
'x,y,z'
'-x,-y,-z'
'-y+1/4,x+3/4,z+1/4'
'y+1/4,-x+3/4,-z+1/4'
'-x+1/2,-y,z+1/2'
'x+1/2,y,-z+1/2'
'y+1/4,-x+1/4,z+3/4'
'-y+1/4,x+1/4,-z+3/4'
'x,-y,-z'
'-x,y,z'
'-y+1/4,-x+1/4,-z+3/4'
'y+1/4,x+1/4,z+3/4'
'-x+1/2,y,-z+1/2'
'x+1/2,-y,z+1/2'
'y+1/4,x+3/4,-z+1/4'
'-y+1/4,-x+3/4,z+1/4'
'x+1/2,y+1/2,z+1/2'
'-x+1/2,-y+1/2,-z+1/2'
'-y+3/4,x+1/4,z+3/4'
'y+3/4,-x+1/4,-z+3/4'
'-x,-y+1/2,z'
'x,y+1/2,-z'
'y+3/4,-x+3/4,z+1/4'
'-y+3/4,x+3/4,-z+1/4'
'x+1/2,-y+1/2,-z+1/2'
'-x+1/2,y+1/2,z+1/2'
'-y+3/4,-x+3/4,-z+1/4'
'y+3/4,x+3/4,z+1/4'
'-x,y+1/2,-z'
'x,-y+1/2,z'
'y+3/4,x+1/4,-z+3/4'
'-y+3/4,-x+1/4,z+3/4'
loop_
_atom_site_label
_atom_site_type_symbol
_atom_site_fract_x
_atom_site_fract_y
_atom_site_fract_z
Tb1 Tb 0.0000 0.2500 0.3750
Mg1 Mg 0.0000 0.0000 0.0000
Mg2 Mg 0.0000 0.2500 0.8750
Mg3 Mg 0.1214 0.0456 0.6745
# D(E_F), states/eV/f.u.: 4.93
# DFT total energy, eV per atom: -1.820
# ΔH_f (0 K), kJ per mole of atoms: 2.7
# M_tot, μB/f.u.: 0.0



[12]
# NaCeTm4S8, optimized geometry, DFT GGA-PBE
data_NaCeTm4S8
_symmetry_space_group_name_H-M 'R 3 m'
_symmetry_Int_Tables_number 160
_symmetry_space_group_name_Hall 'R 3 -2"'
_cell_length_a 7.9994
_cell_length_b 7.9994
_cell_length_c 20.1158
_cell_angle_alpha 90.00
_cell_angle_beta 90.00
_cell_angle_gamma 120.00
loop_
_atom_site_label
_atom_site_type_symbol
_atom_site_fract_x
_atom_site_fract_y
_atom_site_fract_z
Na1 Na 0.0000 0.0000 0.0000
Ce1 Ce 0.0000 0.0000 0.3693
Tm1 Tm 0.0000 0.0000 0.7464
Tm2 Tm 0.0121 0.5060 0.8741
S1 S 0.0000 0.0000 0.1347
S2 S 0.0000 0.0000 0.6147
S3 S 0.0134 0.5067 0.1290
S4 S 0.1794 0.3587 0.9485
# D(E_F), states/eV/f.u.: 4.30
# DFT total energy, eV per atom: -6.076
# M_tot, μB/f.u.: 1.0



[13]
# TbPm2In5, optimized geometry, DFT GGA-PBE
data_TbPm2In5
_symmetry_space_group_name_H-M 'I 4 m m'
_symmetry_Int_Tables_number 107
_symmetry_space_group_name_Hall 'I 4 -2'
_cell_length_a 7.1542
_cell_length_b 7.1542
_cell_length_c 8.4699
_cell_angle_alpha 90.00
_cell_angle_beta 90.00
_cell_angle_gamma 90.00
loop_
_atom_site_label
_atom_site_type_symbol
_atom_site_fract_x
_atom_site_fract_y
_atom_site_fract_z
Tb1 Tb 0.0000 0.0000 0.0000
Pm1 Pm 0.0000 0.5000 0.4076
In1 In 0.0000 0.0000 0.3823
In2 In 0.2141 0.2141 0.6687
# D(E_F), states/eV/f.u.: 6.11
# DFT total energy, eV per atom: -3.933
# ΔH_f (0 K), kJ per mole of atoms: -43.9
# M_tot, μB/f.u.: 0.0



[14]
# Ce2InHg3, optimized geometry, DFT GGA-PBE
data_Ce2InHg3
_symmetry_space_group_name_H-M 'F m m m'
_symmetry_Int_Tables_number 69
_symmetry_space_group_name_Hall '-F 2 2'
_cell_length_a 6.8551
_cell_length_b 10.1809
_cell_length_c 17.6227
_cell_angle_alpha 90.00
_cell_angle_beta 90.00
_cell_angle_gamma 90.00
loop_
_atom_site_label
_atom_site_type_symbol
_atom_site_fract_x
_atom_site_fract_y
_atom_site_fract_z
Ce1 Ce 0.2337 0.0000 0.0000
Ce2 Ce 0.2500 0.2500 0.2500
In1 In 0.0000 0.0000 0.3343
Hg1 Hg 0.0000 0.0000 0.1676
Hg2 Hg 0.0000 0.2472 0.4167
# ΔE to the lowest computed polymorph, meV per atom: 0
# D(E_F), states/eV/f.u.: 12.95
# DFT total energy, eV per atom: -2.942
# ΔH_f (0 K), kJ per mole of atoms: -34.4
# M_tot, μB/f.u.: 2.7



[15]
# Ba3NaTl2, optimized geometry, DFT GGA-PBE
data_Ba3NaTl2
_symmetry_space_group_name_H-M 'P 4/m m m'
_symmetry_Int_Tables_number 123
_symmetry_space_group_name_Hall '-P 4 2'
_cell_length_a 4.3362
_cell_length_b 4.3362
_cell_length_c 13.7408
_cell_angle_alpha 90.00
_cell_angle_beta 90.00
_cell_angle_gamma 90.00
loop_
_atom_site_label
_atom_site_type_symbol
_atom_site_fract_x
_atom_site_fract_y
_atom_site_fract_z
Ba1 Ba 0.0000 0.0000 0.0000
Ba2 Ba 0.0000 0.0000 0.2999
Na1 Na 0.5000 0.5000 0.5000
Tl1 Tl 0.5000 0.5000 0.1533
# D(E_F), states/eV/f.u.: 3.70
# DFT total energy, eV per atom: -2.272
# ΔH_f (0 K), kJ per mole of atoms: -29.2
# M_tot, μB/f.u.: 0.0



[16]
# Pm2DyAg5, optimized geometry, DFT GGA-PBE
data_Pm2DyAg5
_symmetry_space_group_name_H-M 'I 4/m m m'
_symmetry_Int_Tables_number 139
_symmetry_space_group_name_Hall '-I 4 2'
_cell_length_a 5.1257
_cell_length_b 5.1257
_cell_length_c 14.3393
_cell_angle_alpha 90.00
_cell_angle_beta 90.00
_cell_angle_gamma 90.00
loop_
_atom_site_label
_atom_site_type_symbol
_atom_site_fract_x
_atom_site_fract_y
_atom_site_fract_z
Pm1 Pm 0.0000 0.0000 0.2310
Dy1 Dy 0.0000 0.0000 0.5000
Ag1 Ag 0.0000 0.0000 0.0000
Ag2 Ag 0.0000 0.5000 0.1138
# D(E_F), states/eV/f.u.: 5.89
# DFT total energy, eV per atom: -3.759
# ΔH_f (0 K), kJ per mole of atoms: -20.6
# M_tot, μB/f.u.: 0.0



[17]
# RuPbBr, optimized geometry, DFT GGA-PBE
data_RuPbBr
_symmetry_space_group_name_H-M 'P 3 m 1'
_symmetry_Int_Tables_number 156
_cell_length_a 3.5262
_cell_length_b 3.5262
_cell_length_c 7.2044
_cell_angle_alpha 90.00
_cell_angle_beta 90.00
_cell_angle_gamma 120.00
loop_
_symmetry_equiv_pos_as_xyz
'x,y,z'
'-y,x-y,z'
'-x+y,-x,z'
'-y,-x,z'
'-x+y,y,z'
'x,x-y,z'
loop_
_atom_site_label
_atom_site_type_symbol
_atom_site_fract_x
_atom_site_fract_y
_atom_site_fract_z
Ru1 Ru 0.0000 0.0000 0.0000
Pb1 Pb 0.3333 0.6667 0.6770
Br1 Br 0.6667 0.3333 0.1775
# ΔE to the lowest computed polymorph, meV per atom: 0
# D(E_F), states/eV/f.u.: 2.80
# DFT total energy, eV per atom: -4.489
# M_tot, μB/f.u.: 0.0